## SrAlZn3 (PBE)

Data for crystalline SrAlZn3 at its relaxed geometry.

a = 5.890 Å, b = 5.890 Å, c = 5.890 Å
α = 90.00°, β = 90.00°, γ = 90.00°
Positions (direct):
Sr (0.000, 0.000, 0.000)
Al (0.500, 0.500, 0.500)
Zn (0.000, 0.000, 0.500)
Zn (0.000, 0.500, 0.000)
Zn (0.500, 0.000, 0.000)

final energy: -0.816 eV per atom
DFT formation energy: 23.829 kcal/mol of atoms
DOS(E_F): 8.369 states/eV/f.u.
crystal system: cubic
ΔE to the lowest computed polymorph: 1.2523 eV/atom
total magnetization: 0.00 μB/f.u.